Entry 1:
Here is a relaxed structure of AlCd2Co from Alexandria via LeMat-Bulk. Energies are from PBE.

Cell and atoms, written as CIF:
```
data_AlCd2Co
_cell_length_a 2.848
_cell_length_b 4.554
_cell_length_c 11.365
_cell_angle_alpha 90.00
_cell_angle_beta 90.00
_cell_angle_gamma 90.00
_space_group_name_H-M_alt 'I m m 2'
_space_group_IT_number 44
loop_
_space_group_symop_operation_xyz
'x,y,z'
'-x,-y,z'
'-x,y,z'
'x,-y,z'
'x+1/2,y+1/2,z+1/2'
'-x+1/2,-y+1/2,z+1/2'
'-x+1/2,y+1/2,z+1/2'
'x+1/2,-y+1/2,z+1/2'
loop_
_atom_site_label
_atom_site_type_symbol
_atom_site_fract_x
_atom_site_fract_y
_atom_site_fract_z
Al1 Al 0.000 0.000 0.000
Cd1 Cd 0.000 0.000 0.628
Cd2 Cd 0.000 0.500 0.821
Co1 Co 0.000 0.500 0.334
```

ΔE_f: 0.10 eV per atom
Mass density: 7.002 g/cm³
Volume: 147 Å³/cell

=====

Entry 2:
Here is a relaxed structure of Sr3CaB from Alexandria via LeMat-Bulk. Energies are from PBE.

Cell and atoms, written as CIF:
```
data_Sr3CaB
_cell_length_a 5.868
_cell_length_b 5.868
_cell_length_c 5.868
_cell_angle_alpha 90.00
_cell_angle_beta 90.00
_cell_angle_gamma 90.00
_space_group_name_H-M_alt 'P m -3 m'
_space_group_IT_number 221
_space_group_name_Hall '-P 4 2 3'
loop_
_atom_site_label
_atom_site_type_symbol
_atom_site_fract_x
_atom_site_fract_y
_atom_site_fract_z
Sr1 Sr 0.000 0.000 0.500
Ca1 Ca 0.500 0.500 0.500
B1 B 0.000 0.000 0.000
```

ΔE_f: 0.34 eV per atom
Mass density: 2.579 g/cm³
E above lowest polymorph: 0.0 meV/atom
Volume: 202 Å³/cell

=====

Entry 3:
Here is a relaxed structure of MgNiI3 from Alexandria via LeMat-Bulk. Energies are from PBE.

Cell and atoms, written as CIF:
```
data_MgNiI3
_cell_length_a 5.322
_cell_length_b 5.322
_cell_length_c 5.322
_cell_angle_alpha 90.00
_cell_angle_beta 90.00
_cell_angle_gamma 90.00
_space_group_name_H-M_alt 'P m -3 m'
_space_group_IT_number 221
_space_group_name_Hall '-P 4 2 3'
loop_
_atom_site_label
_atom_site_type_symbol
_atom_site_fract_x
_atom_site_fract_y
_atom_site_fract_z
Mg1 Mg 0.000 0.000 0.000
Ni1 Ni 0.500 0.500 0.500
I1 I 0.000 0.500 0.500
```

Mass density: 5.108 g/cm³
ΔE_f (raw): -0.03 eV per atom
E above lowest polymorph: 0.0 meV/atom
Volume: 151 Å³/cell